{"formula": "SmMgHg", "functional": "GGA-PBE", "state": "relaxed", "lattice": [[-2.1133, 1.5851, 2.3046], [-3.9167, -2.4982, -1.8734], [2.6470, -1.9587, 3.7746]], "species": ["Mg", "Hg", "Sm"], "frac_coords": [[0.1672, 0.0000, 0.0000], [0.1663, 0.3333, 0.6667], [0.6664, 0.6667, 0.3333]], "delta_e_f_ev_per_fu": -0.99, "dos_at_fermi_per_ev_cell": 3.07, "spacegroup": "No. 187", "final_energy_ev_per_atom": -2.534}